A) Compound: KSnBr2
Source: Alexandria via LeMat-Bulk
Functional: PBE
Structure: optimized geometry

Magnetization ... 0.0000 μB per atom

Cell lengths 6.325, 6.325, 9.923 Å; angles 71.41, 71.41, 90.00 degrees
Atoms (fractional coordinates):
1 K 0.500 0.500 0.000
2 K 0.250 0.750 0.500
3 Sn 0.000 0.000 0.000
4 Sn 0.750 0.250 0.500
5 Br 0.662 0.125 0.250
6 Br 0.088 0.625 0.250
7 Br 0.375 0.338 0.750
8 Br 0.875 0.912 0.750


B) Compound: KSnBr2
Source: Alexandria via LeMat-Bulk
Functional: PBE
Structure: optimized geometry

Magnetization ... 0.0000 μB per atom

Cell lengths 5.598, 5.598, 5.598 Å; angles 60.00, 60.00, 60.00 degrees
Atoms (fractional coordinates):
1 K 0.000 0.000 0.000
2 Sn 0.500 0.500 0.500
3 Br 0.250 0.250 0.250
4 Br 0.750 0.750 0.750


Most stable: A). Least stable: B).


A) Compound: KSn2Br
Source: Alexandria via LeMat-Bulk
Functional: PBE
Structure: optimized geometry

Magnetization ... 0.0000 μB per atom

Cell lengths 4.349, 4.349, 16.160 Å; angles 82.27, 82.27, 90.00 degrees
Atoms (fractional coordinates):
1 K 0.500 0.500 0.000
2 K 0.250 0.750 0.500
3 Sn 0.618 0.125 0.250
4 Sn 0.132 0.625 0.250
5 Sn 0.375 0.382 0.750
6 Sn 0.875 0.868 0.750
7 Br 0.000 0.000 0.000
8 Br 0.750 0.250 0.500


B) Compound: KSn2Br
Source: Alexandria via LeMat-Bulk
Functional: PBE
Structure: optimized geometry

Magnetization ... 0.0000 μB per atom

Cell lengths 5.676, 5.676, 5.676 Å; angles 60.00, 60.00, 60.00 degrees
Atoms (fractional coordinates):
1 K 0.000 0.000 0.000
2 Sn 0.250 0.250 0.250
3 Sn 0.750 0.750 0.750
4 Br 0.500 0.500 0.500


Most stable: A). Least stable: B).


A) Compound: KSn2Br4
Source: Alexandria via LeMat-Bulk
Functional: PBE
Structure: optimized geometry

Magnetization ... 0.0000 μB per atom

Cell lengths 9.369, 8.732, 9.425 Å; angles 108.78, 112.00, 112.13 degrees
Atoms (fractional coordinates):
1 K 0.280 0.737 0.450
2 K 0.935 0.966 0.015
3 Sn 0.583 0.367 0.747
4 Sn 0.761 0.822 0.417
5 Sn 0.660 0.410 0.321
6 Sn 0.038 0.267 0.635
7 Br 0.948 0.293 0.322
8 Br 0.409 0.677 0.165
9 Br 0.905 0.578 0.693
10 Br 0.755 0.079 0.727
11 Br 0.366 0.172 0.351
12 Br 0.270 0.103 0.734
13 Br 0.479 0.621 0.756
14 Br 0.861 0.658 0.167


B) Compound: KSn2Br4
Source: Alexandria via LeMat-Bulk
Functional: PBE
Structure: optimized geometry

Magnetization ... 0.0000 μB per atom

Cell lengths 4.962, 7.369, 8.830 Å; angles 117.31, 106.32, 90.00 degrees
Atoms (fractional coordinates):
1 K 0.000 0.000 0.000
2 Sn 0.729 0.734 0.458
3 Sn 0.271 0.266 0.542
4 Br 0.861 0.223 0.721
5 Br 0.139 0.777 0.279
6 Br 0.642 0.284 0.284
7 Br 0.358 0.716 0.716


Most stable: A). Least stable: B).


A) Compound: K2SnBr
Source: Alexandria via LeMat-Bulk
Functional: PBE
Structure: optimized geometry

Magnetization ... 0.0000 μB per atom

Cell lengths 9.255, 9.255, 7.555 Å; angles 52.23, 52.23, 90.00 degrees
Atoms (fractional coordinates):
1 K 0.583 0.125 0.250
2 K 0.167 0.625 0.250
3 K 0.375 0.417 0.750
4 K 0.875 0.833 0.750
5 Sn 0.000 0.000 0.000
6 Sn 0.750 0.250 0.500
7 Br 0.500 0.500 0.000
8 Br 0.250 0.750 0.500


B) Compound: K2SnBr
Source: Alexandria via LeMat-Bulk
Functional: PBE
Structure: optimized geometry

Magnetization ... 0.7500 μB per atom

Cell lengths 6.090, 6.090, 6.090 Å; angles 60.00, 60.00, 60.00 degrees
Last column: magnetic moment on the atom in μB.
Atoms (fractional coordinates):
1 K 0.250 0.250 0.250  0.04
2 K 0.750 0.750 0.750  0.04
3 Sn 0.500 0.500 0.500  0.96
4 Br 0.000 0.000 0.000  0.13


Most stable: A). Least stable: B).